DFT (GGA-PBE) results for crystalline HgMoSe2 at its relaxed geometry.

```
HgMoSe2
1.0
-1.003 -0.292 -2.915
-0.934 -2.888 0.610
-8.700 3.373 2.656
Hg Mo Se
1 1 2
Direct
0.500 0.500 0.250 Hg
0.500 0.500 0.750 Mo
0.000 0.000 0.910 Se
0.000 0.000 0.590 Se
```

Raw formation energy ... -25.38 kJ/mol of atoms
Final energy ... -4.789 eV per atom
Space group ... P4/mmm, No. 123

DFT (GGA-PBE) results for crystalline CeNd5Sb6 at its relaxed geometry.

```
CeNd5Sb6
1.0
7.828 0.212 0.000
2.407 7.446 0.000
1.204 3.723 6.780
Ce Nd Sb
1 5 6
Direct
0.000 0.000 0.000 Ce
0.500 0.168 0.665 Nd
0.000 0.334 0.333 Nd
0.500 0.500 0.000 Nd
0.000 0.666 0.667 Nd
0.500 0.832 0.335 Nd
0.752 0.083 0.331 Sb
0.248 0.587 0.331 Sb
0.249 0.248 0.000 Sb
0.751 0.752 0.000 Sb
0.752 0.413 0.669 Sb
0.248 0.917 0.669 Sb
```

Raw formation energy ... -112.86 kJ/mol of atoms
Final energy ... -5.712 eV per atom
Space group ... C2/m, No. 12

DFT (GGA-PBE) results for crystalline KVHg at its relaxed geometry.

```
KVHg
1.0
-6.217 2.099 1.614
1.825 -7.235 4.919
0.685 1.458 2.604
K Hg V
2 2 2
Direct
0.716 0.251 0.531 K
0.284 0.749 0.469 K
0.712 0.633 0.868 Hg
0.288 0.367 0.132 Hg
0.893 0.919 0.201 V
0.107 0.081 0.799 V
```

Excess energy over the best structure of this formula in the dataset ... 119 meV per atom
Final energy ... -3.090 eV per atom
E_form ... 1.25 eV per formula unit
Space group ... P-1, No. 2

DFT (GGA-PBE) results for crystalline PmUCo2 at its relaxed geometry.

```
PmUCo2
1.0
4.349 0.000 0.000
0.000 7.216 0.000
0.000 0.000 9.884
Pm U Co
4 4 8
Direct
0.750 0.601 0.378 Pm
0.750 0.101 0.122 Pm
0.250 0.399 0.622 Pm
0.250 0.899 0.878 Pm
0.250 0.955 0.372 U
0.750 0.045 0.628 U
0.250 0.455 0.128 U
0.750 0.545 0.872 U
0.750 0.682 0.074 Co
0.250 0.318 0.926 Co
0.750 0.182 0.426 Co
0.250 0.818 0.574 Co
0.750 0.194 0.823 Co
0.250 0.306 0.323 Co
0.750 0.694 0.677 Co
0.250 0.806 0.177 Co
```

Excess energy over the best structure of this formula in the dataset ... 0 meV per atom
Final energy ... -7.710 eV per atom
E_form ... -0.59 eV per formula unit
Space group ... Pnma, No. 62

DFT (GGA-PBE) results for crystalline TbHo5Tm2 at its relaxed geometry.

```
TbHo5Tm2
1.0
8.113 0.670 -2.756
-3.334 7.848 1.144
-5.853 -0.676 9.416
Tb Ho Tm
2 10 4
Direct
0.750 0.500 0.750 Tb
0.250 0.500 0.250 Tb
0.125 0.875 0.000 Ho
0.625 0.875 0.500 Ho
0.999 0.749 0.250 Ho
0.750 0.000 0.250 Ho
0.501 0.251 0.250 Ho
0.499 0.749 0.750 Ho
0.001 0.251 0.750 Ho
0.250 0.000 0.750 Ho
0.875 0.125 0.000 Ho
0.375 0.125 0.500 Ho
0.876 0.625 0.500 Tm
0.624 0.375 0.000 Tm
0.124 0.375 0.500 Tm
0.376 0.625 0.000 Tm
```

Excess energy over the best structure of this formula in the dataset ... 6 meV per atom
Final energy ... -4.534 eV per atom
E_form ... 0.19 eV per formula unit
Space group ... P2/m, No. 10

DFT (GGA-PBE) results for crystalline P2HSe at its relaxed geometry.

```
P2HSe
1.0
4.210 0.000 0.000
-1.168 5.662 0.001
-1.988 -1.789 7.517
P H Se
4 2 2
Direct
0.937 0.907 0.874 P
0.575 0.534 0.455 P
0.439 0.644 0.706 P
0.196 0.952 0.663 P
0.612 0.864 0.242 H
0.330 0.304 0.398 H
0.685 0.233 0.855 Se
0.290 0.697 0.240 Se
```

Excess energy over the best structure of this formula in the dataset ... 42 meV per atom
Final energy ... -4.376 eV per atom
Space group ... P1, No. 1

DFT (GGA-PBE) results for crystalline LiDy2F8 at its relaxed geometry.

```
LiDy2F8
1.0
3.919 0.000 0.000
-1.959 6.089 -1.085
0.000 0.072 6.924
Li Dy F
1 2 8
Direct
0.500 0.000 0.000 Li
0.735 0.469 0.741 Dy
0.265 0.531 0.259 Dy
0.435 0.871 0.230 F
0.736 0.471 0.098 F
0.808 0.615 0.457 F
0.912 0.824 0.865 F
0.192 0.385 0.543 F
0.264 0.529 0.902 F
0.565 0.129 0.770 F
0.088 0.176 0.135 F
```

Excess energy over the best structure of this formula in the dataset ... 34 meV per atom
Raw formation energy ... -329.02 kJ/mol of atoms
Final energy ... -5.782 eV per atom
Space group ... C2/m, No. 12

DFT (GGA-PBE) results for crystalline HoBe2SiRh4 at its relaxed geometry.

```
HoBe2SiRh4
1.0
4.152 0.000 0.000
2.076 3.596 0.000
2.076 1.199 7.395
Ho Be Si Rh
1 2 1 4
Direct
0.000 0.000 0.000 Ho
0.758 0.758 0.726 Be
0.242 0.242 0.274 Be
0.500 0.500 0.500 Si
0.394 0.394 0.819 Rh
0.868 0.868 0.395 Rh
0.132 0.132 0.605 Rh
0.606 0.606 0.181 Rh
```

Raw formation energy ... -68.33 kJ/mol of atoms
Final energy ... -6.566 eV per atom
Space group ... R-3m, No. 166

DFT (GGA-PBE) results for crystalline NaLi2SmPb2 at its relaxed geometry.

```
NaLi2SmPb2
1.0
4.970 0.000 0.000
-2.485 4.304 0.000
0.000 0.000 7.158
Na Li Sm Pb
1 2 1 2
Direct
0.000 0.000 0.000 Na
0.333 0.667 0.767 Li
0.667 0.333 0.233 Li
0.000 0.000 0.500 Sm
0.333 0.667 0.280 Pb
0.667 0.333 0.720 Pb
```

Final energy ... -3.228 eV per atom
E_form ... -2.08 eV per formula unit
Space group ... P-3m1, No. 164

DFT (GGA-PBE) results for crystalline ZrNbO4 at its relaxed geometry.

```
ZrNbO4
1.0
5.864 0.005 0.000
-2.363 5.366 0.000
-1.750 -2.686 4.910
Zr Nb O
2 2 8
Direct
0.756 0.756 0.000 Zr
0.506 0.006 0.500 Zr
0.257 0.257 0.000 Nb
0.007 0.507 0.500 Nb
0.240 0.941 0.701 O
0.754 0.450 0.696 O
0.691 0.490 0.201 O
0.200 0.004 0.196 O
0.288 0.490 0.799 O
0.809 0.004 0.804 O
0.754 0.059 0.304 O
0.240 0.538 0.299 O
```

Raw formation energy ... -271.44 kJ/mol of atoms
Final energy ... -9.222 eV per atom
Space group ... I4_1md, No. 109

DFT (GGA-PBE) results for crystalline NiSnRh2 at its relaxed geometry.

```
NiSnRh2
1.0
3.851 0.000 0.000
0.000 3.851 0.000
1.926 1.926 8.929
Ni Rh Sn
2 4 2
Direct
0.500 0.500 0.000 Ni
0.250 0.750 0.500 Ni
0.589 0.125 0.250 Rh
0.161 0.625 0.250 Rh
0.375 0.411 0.750 Rh
0.875 0.839 0.750 Rh
0.000 0.000 0.000 Sn
0.750 0.250 0.500 Sn
```

Final energy ... -5.964 eV per atom
E_form ... 0.63 eV per formula unit
Space group ... I-42d, No. 122

DFT (GGA-PBE) results for crystalline LiZrPa2N4 at its relaxed geometry.

```
LiZrPa2N4
1.0
-1.650 1.618 2.572
3.214 -2.736 3.783
4.947 3.161 1.186
Li Zr Pa N
1 1 2 4
Direct
0.500 0.500 0.000 Li
0.000 0.500 0.500 Zr
0.000 0.000 0.000 Pa
0.500 0.000 0.500 Pa
0.000 0.769 0.734 N
0.000 0.232 0.266 N
0.500 0.747 0.251 N
0.500 0.253 0.749 N
```

Raw formation energy ... -132.63 kJ/mol of atoms
Final energy ... -9.219 eV per atom
Space group ... P2/m, No. 10

Question: final energy of number 6 (P2HSe)?
Answer: -4.376 eV per atom

Copy entry 7 word for word.
DFT (GGA-PBE) results for crystalline LiDy2F8 at its relaxed geometry.

```
LiDy2F8
1.0
3.919 0.000 0.000
-1.959 6.089 -1.085
0.000 0.072 6.924
Li Dy F
1 2 8
Direct
0.500 0.000 0.000 Li
0.735 0.469 0.741 Dy
0.265 0.531 0.259 Dy
0.435 0.871 0.230 F
0.736 0.471 0.098 F
0.808 0.615 0.457 F
0.912 0.824 0.865 F
0.192 0.385 0.543 F
0.264 0.529 0.902 F
0.565 0.129 0.770 F
0.088 0.176 0.135 F
```

Excess energy over the best structure of this formula in the dataset ... 34 meV per atom
Raw formation energy ... -329.02 kJ/mol of atoms
Final energy ... -5.782 eV per atom
Space group ... C2/m, No. 12

Question: The highest final energy belongs to which entry?
Answer: KVHg